Record 1
Computed, not measured: Cs2K2Na7 after structural relaxation at the PBE level of DFT.

Values from the calculation:
Space group: No. 12
Formation energy from the elements: 0.04 eV per atom
N(E_F): 4.419 states/eV/f.u.
Total moment: 0.00 μB/f.u.

Unit cell a=7.5612 b=9.1914 c=9.1914 alpha=93.71 beta=78.46 gamma=78.46
Atoms (fractional coordinates):
Cs (0.0775, 0.7888, 0.7888)
Cs (0.9225, 0.2112, 0.2112)
K (0.0000, 0.7122, 0.2878)
K (0.0000, 0.2878, 0.7122)
Na (0.5966, 0.0777, 0.6257)
Na (0.4034, 0.3743, 0.9223)
Na (0.4034, 0.9223, 0.3743)
Na (0.5966, 0.6257, 0.0777)
Na (0.5000, 0.0000, 0.0000)
Na (0.3806, 0.3850, 0.3850)
Na (0.6194, 0.6150, 0.6150)



Record 2
Computed, not measured: LiHgRu after structural relaxation at the PBE level of DFT.

Values from the calculation:
Excess energy over the best structure of this formula in the dataset: 20 meV per atom
Space group: No. 107
Formation energy from the elements: 0.34 eV per atom
N(E_F): 1.805 states/eV/f.u.
Total moment: 1.38 μB/f.u.

Unit cell a=6.5175 b=6.5175 c=6.5175 alpha=154.97 beta=154.97 gamma=35.69
Each line ends with the local moment (μB).
Atoms (fractional coordinates):
Hg (0.9977, 0.9977, 0.0000)  0.01
Li (0.3283, 0.3283, 0.0000)  -0.02
Ru (0.6741, 0.6741, 0.0000)  1.37



Record 3
Computed, not measured: Ta2TcAg after structural relaxation at the PBE level of DFT.

Values from the calculation:
Excess energy over the best structure of this formula in the dataset: 9 meV per atom
Space group: No. 65
Formation energy from the elements: 0.07 eV per atom
N(E_F): 2.531 states/eV/f.u.
Total moment: 0.00 μB/f.u.

Unit cell a=2.8194 b=2.8194 c=9.1815 alpha=90.00 beta=90.00 gamma=110.01
Atoms (fractional coordinates):
Ag (0.5000, 0.5000, 0.7500)
Ta (0.0000, 0.0000, 0.0155)
Ta (0.0000, 0.0000, 0.4845)
Tc (0.5000, 0.5000, 0.2500)



Record 4
Computed, not measured: Ce2NO after structural relaxation at the PBE level of DFT.

Values from the calculation:
Formation energy without anion corrections: -8.91 eV/f.u.
Excess energy over the best structure of this formula in the dataset: 16 meV per atom
Space group: No. 123
N(E_F): 4.829 states/eV/f.u.
Total moment: 0.00 μB/f.u.

Unit cell a=3.5473 b=3.5473 c=5.0031 alpha=90.00 beta=90.00 gamma=90.00
Atoms (fractional coordinates):
Ce (0.0000, 0.0000, 0.5000)
Ce (0.5000, 0.5000, 0.0000)
N (0.5000, 0.5000, 0.5000)
O (0.0000, 0.0000, 0.0000)



Record 5
Computed, not measured: CeTh2Te5 after structural relaxation at the PBE level of DFT.

Values from the calculation:
Formation energy without anion corrections: -9.28 eV/f.u.
Space group: No. 55
N(E_F): 9.088 states/eV/f.u.
Total moment: 1.06 μB/f.u.

Unit cell a=4.3320 b=8.6369 c=14.1544 alpha=90.00 beta=90.00 gamma=90.00
Each line ends with the local moment (μB).
Atoms (fractional coordinates):
Ce (0.0000, 0.5000, 0.5000)  0.92
Ce (0.0000, 0.0000, 0.0000)  0.92
Th (0.5000, 0.5226, 0.1776)  0.02
Th (0.5000, 0.4774, 0.8224)  0.02
Th (0.5000, 0.9774, 0.6776)  0.02
Th (0.5000, 0.0226, 0.3224)  0.02
Te (0.0000, 0.0000, 0.5000)  0.00
Te (0.0000, 0.5000, 0.0000)  0.00
Te (0.0000, 0.8156, 0.1954)  -0.01
Te (0.0000, 0.1844, 0.8046)  -0.01
Te (0.0000, 0.6844, 0.6954)  -0.01
Te (0.0000, 0.3156, 0.3046)  -0.01
Te (0.5000, 0.6700, 0.3843)  -0.01
Te (0.5000, 0.3300, 0.6157)  -0.01
Te (0.5000, 0.8300, 0.8843)  -0.01
Te (0.5000, 0.1700, 0.1157)  -0.01



Record 6
Computed, not measured: Dy3Sb5S12 after structural relaxation at the PBE level of DFT.

Values from the calculation:
Formation energy without anion corrections: -14.49 eV/f.u.
Space group: No. 230
Total moment: 0.00 μB/f.u.

Unit cell a=13.9710 b=13.9710 c=13.9710 alpha=109.47 beta=109.47 gamma=109.47
Atoms (fractional coordinates):
Dy (0.7500, 0.3750, 0.1250)
Dy (0.8750, 0.7500, 0.1250)
Dy (0.3750, 0.7500, 0.6250)
Dy (0.2500, 0.1250, 0.3750)
Dy (0.8750, 0.1250, 0.2500)
Dy (0.3750, 0.6250, 0.2500)
Dy (0.6250, 0.3750, 0.7500)
Dy (0.1250, 0.8750, 0.7500)
Dy (0.7500, 0.8750, 0.6250)
Dy (0.6250, 0.2500, 0.3750)
Dy (0.1250, 0.2500, 0.8750)
Dy (0.2500, 0.6250, 0.8750)
Sb (0.1250, 0.3750, 0.2500)
Sb (0.0000, 0.5000, 0.0000)
Sb (0.0000, 0.0000, 0.0000)
Sb (0.3750, 0.2500, 0.1250)
Sb (0.5000, 0.0000, 0.5000)
Sb (0.5000, 0.5000, 0.0000)
Sb (0.1250, 0.7500, 0.3750)
Sb (0.7500, 0.1250, 0.8750)
Sb (0.7500, 0.6250, 0.3750)
Sb (0.3750, 0.1250, 0.7500)
Sb (0.6250, 0.8750, 0.2500)
Sb (0.5000, 0.5000, 0.5000)
Sb (0.5000, 0.0000, 0.0000)
Sb (0.0000, 0.0000, 0.5000)
Sb (0.2500, 0.3750, 0.6250)
Sb (0.2500, 0.8750, 0.1250)
Sb (0.0000, 0.5000, 0.5000)
Sb (0.8750, 0.2500, 0.6250)
Sb (0.6250, 0.7500, 0.8750)
Sb (0.8750, 0.6250, 0.7500)
S (0.7230, 0.1389, 0.0537)
S (0.3307, 0.5537, 0.4148)
S (0.9463, 0.3611, 0.2770)
S (0.5537, 0.2230, 0.1389)
S (0.5841, 0.7230, 0.6693)
S (0.9463, 0.5852, 0.1693)
S (0.3307, 0.7770, 0.4159)
S (0.0852, 0.9159, 0.1389)
S (0.5852, 0.9463, 0.6693)
S (0.7230, 0.5841, 0.1693)
S (0.7770, 0.4463, 0.3611)
S (0.8307, 0.9148, 0.0537)
S (0.1389, 0.7230, 0.5537)
S (0.3611, 0.4148, 0.0841)
S (0.0841, 0.9148, 0.3611)
S (0.4159, 0.1389, 0.5852)
S (0.0841, 0.1693, 0.2230)
S (0.4463, 0.6693, 0.0852)
S (0.8307, 0.9159, 0.2770)
S (0.1389, 0.4159, 0.0852)
S (0.3611, 0.9463, 0.7770)
S (0.5852, 0.6389, 0.4159)
S (0.9148, 0.8307, 0.5537)
S (0.7770, 0.3307, 0.9159)
S (0.4148, 0.3611, 0.5841)
S (0.0852, 0.1693, 0.4463)
S (0.2230, 0.6693, 0.0841)
S (0.1693, 0.0841, 0.7230)
S (0.6389, 0.0537, 0.2230)
S (0.8611, 0.5841, 0.9148)
S (0.5537, 0.3307, 0.9148)
S (0.5841, 0.8611, 0.4148)
S (0.9159, 0.8307, 0.7770)
S (0.9159, 0.0852, 0.6389)
S (0.8611, 0.2770, 0.4463)
S (0.1693, 0.0852, 0.9463)
S (0.6389, 0.5852, 0.9159)
S (0.4148, 0.0537, 0.3307)
S (0.2770, 0.4159, 0.8307)
S (0.2230, 0.5537, 0.6389)
S (0.9148, 0.0841, 0.8611)
S (0.6693, 0.2230, 0.5841)
S (0.4463, 0.7770, 0.8611)
S (0.0537, 0.4148, 0.8307)
S (0.4159, 0.2770, 0.3307)
S (0.0537, 0.6389, 0.7230)
S (0.6693, 0.4463, 0.5852)
S (0.2770, 0.8611, 0.9463)



Record 7
Computed, not measured: TiBeNb3 after structural relaxation at the PBE level of DFT.

Values from the calculation:
Excess energy over the best structure of this formula in the dataset: 0 meV per atom
Space group: No. 221
Formation energy from the elements: 0.54 eV per atom
N(E_F): 6.085 states/eV/f.u.
Total moment: 0.00 μB/f.u.

Unit cell a=4.4588 b=4.4588 c=4.4588 alpha=90.00 beta=90.00 gamma=90.00
Atoms (fractional coordinates):
Be (0.0000, 0.0000, 0.0000)
Nb (0.0000, 0.5000, 0.0000)
Nb (0.0000, 0.0000, 0.5000)
Nb (0.5000, 0.0000, 0.0000)
Ti (0.5000, 0.5000, 0.5000)



Record 8
Computed, not measured: In2FeSiPb after structural relaxation at the PBE level of DFT.

Values from the calculation:
Formation energy without anion corrections: 4.88 eV/f.u.
Space group: No. 123
N(E_F): 9.625 states/eV/f.u.
Total moment: 3.20 μB/f.u.

Unit cell a=5.1546 b=5.5390 c=5.1546 alpha=90.00 beta=90.00 gamma=90.00
Each line ends with the local moment (μB).
Atoms (fractional coordinates):
Pb (0.0000, 0.5000, 0.0000)  -0.04
Si (0.0000, 0.0000, 0.0000)  0.00
Fe (0.5000, 0.5000, 0.5000)  3.23
In (0.0000, 0.0000, 0.5000)  0.00
In (0.5000, 0.0000, 0.0000)  -0.01



Record 9
Computed, not measured: La2ZnW after structural relaxation at the PBE level of DFT.

Values from the calculation:
Space group: No. 38
Formation energy from the elements: 0.30 eV per atom
N(E_F): 3.581 states/eV/f.u.
Total moment: 0.00 μB/f.u.

Unit cell a=4.4893 b=4.1864 c=6.0079 alpha=69.66 beta=90.00 gamma=90.00
Atoms (fractional coordinates):
La (0.0000, 0.9798, 0.9151)
La (0.5000, 0.2689, 0.3372)
W (0.0000, 0.6885, 0.4985)
Zn (0.5000, 0.5628, 0.7492)



Record 10
Computed, not measured: HoTcSn2 after structural relaxation at the PBE level of DFT.

Values from the calculation:
Space group: No. 123
Formation energy from the elements: -0.22 eV per atom
N(E_F): 3.286 states/eV/f.u.
Total moment: 0.00 μB/f.u.

Unit cell a=3.3876 b=3.3876 c=7.4363 alpha=90.00 beta=90.00 gamma=90.00
Atoms (fractional coordinates):
Tc (0.5000, 0.5000, 0.0000)
Ho (0.5000, 0.5000, 0.5000)
Sn (0.0000, 0.0000, 0.7938)
Sn (0.0000, 0.0000, 0.2062)



Record 11
Computed, not measured: VZn2Pt8 after structural relaxation at the PBE level of DFT.

Values from the calculation:
Space group: No. 12
Formation energy from the elements: -0.38 eV per atom
N(E_F): 11.035 states/eV/f.u.
Total moment: 0.00 μB/f.u.

Unit cell a=3.9584 b=6.2456 c=7.2956 alpha=106.05 beta=105.74 gamma=90.00
Atoms (fractional coordinates):
V (0.5000, 0.0000, 0.0000)
Zn (0.2236, 0.6382, 0.4472)
Zn (0.7764, 0.3618, 0.5528)
Pt (0.5955, 0.4470, 0.1910)
Pt (0.3197, 0.0793, 0.6393)
Pt (0.1354, 0.1807, 0.2708)
Pt (0.0455, 0.7272, 0.0909)
Pt (0.8646, 0.8193, 0.7292)
Pt (0.6803, 0.9207, 0.3607)
Pt (0.4045, 0.5530, 0.8090)
Pt (0.9545, 0.2728, 0.9091)



Record 12
Computed, not measured: MgGaIN2 after structural relaxation at the PBE level of DFT.

Values from the calculation:
Formation energy without anion corrections: 4.87 eV/f.u.
Excess energy over the best structure of this formula in the dataset: 0 meV per atom
Space group: No. 123
N(E_F): 2.691 states/eV/f.u.
Total moment: 0.12 μB/f.u.

Unit cell a=3.9206 b=3.9206 c=6.1328 alpha=90.00 beta=90.00 gamma=90.00
Atoms (fractional coordinates):
I (0.0000, 0.0000, 0.5000)
Mg (0.5000, 0.5000, 0.5000)
Ga (0.0000, 0.0000, 0.0000)
N (0.0000, 0.5000, 0.0000)
N (0.5000, 0.0000, 0.0000)



Record 13
Computed, not measured: LiPmYCu after structural relaxation at the PBE level of DFT.

Values from the calculation:
Space group: No. 216
Formation energy from the elements: -0.01 eV per atom
N(E_F): 4.801 states/eV/f.u.
Total moment: 0.00 μB/f.u.

Unit cell a=5.1063 b=5.1063 c=5.1063 alpha=60.00 beta=60.00 gamma=60.00
Atoms (fractional coordinates):
Y (0.7500, 0.7500, 0.7500)
Li (0.5000, 0.5000, 0.5000)
Cu (0.0000, 0.0000, 0.0000)
Pm (0.2500, 0.2500, 0.2500)



Record 14
Computed, not measured: LaRuSe4 after structural relaxation at the PBE level of DFT.

Values from the calculation:
Formation energy without anion corrections: 1.59 eV/f.u.
Space group: No. 216
N(E_F): 5.751 states/eV/f.u.
Total moment: 1.92 μB/f.u.

Unit cell a=5.7316 b=5.7316 c=5.7316 alpha=60.00 beta=60.00 gamma=60.00
Each line ends with the local moment (μB).
Atoms (fractional coordinates):
La (0.7500, 0.7500, 0.7500)  -0.05
Ru (0.0000, 0.0000, 0.0000)  1.82
Se (0.8777, 0.3741, 0.3741)  0.00
Se (0.3741, 0.3741, 0.8777)  0.00
Se (0.3741, 0.8777, 0.3741)  0.00
Se (0.3741, 0.3741, 0.3741)  0.00



Record 15
Computed, not measured: LiTl2Cd after structural relaxation at the PBE level of DFT.

Values from the calculation:
Space group: No. 47
Formation energy from the elements: -0.08 eV per atom
N(E_F): 1.251 states/eV/f.u.
Total moment: 0.00 μB/f.u.

Unit cell a=3.5896 b=4.0790 c=6.7950 alpha=90.00 beta=90.00 gamma=90.00
Atoms (fractional coordinates):
Tl (0.0000, 0.0000, 0.9926)
Tl (0.0000, 0.0000, 0.5074)
Li (0.5000, 0.5000, 0.7500)
Cd (0.5000, 0.5000, 0.2500)



Record 16
Computed, not measured: Pr3Nd6Tl after structural relaxation at the PBE level of DFT.

Values from the calculation:
Excess energy over the best structure of this formula in the dataset: 0 meV per atom
Space group: No. 11
Formation energy from the elements: 0.00 eV per atom
N(E_F): 13.731 states/eV/f.u.
Total moment: 0.00 μB/f.u.

Unit cell a=3.6813 b=12.5884 c=15.1495 alpha=94.21 beta=90.00 gamma=90.00
Atoms (fractional coordinates):
Pr (0.2500, 0.1026, 0.5826)
Pr (0.7500, 0.8974, 0.4174)
Pr (0.2500, 0.4283, 0.3173)
Pr (0.7500, 0.5717, 0.6827)
Pr (0.2500, 0.0535, 0.8024)
Pr (0.7500, 0.9465, 0.1976)
Nd (0.2500, 0.3786, 0.5427)
Nd (0.7500, 0.6214, 0.4573)
Nd (0.2500, 0.8865, 0.9974)
Nd (0.7500, 0.1135, 0.0026)
Nd (0.2500, 0.8117, 0.6109)
Nd (0.7500, 0.1883, 0.3891)
Nd (0.2500, 0.6936, 0.2460)
Nd (0.7500, 0.3064, 0.7540)
Nd (0.2500, 0.5623, 0.8946)
Nd (0.7500, 0.4377, 0.1054)
Nd (0.2500, 0.2066, 0.1844)
Nd (0.7500, 0.7934, 0.8156)
Tl (0.2500, 0.3108, 0.9417)
Tl (0.7500, 0.6892, 0.0583)



Record 17
Computed, not measured: NaCuO2F after structural relaxation at the PBE level of DFT.

Values from the calculation:
Formation energy without anion corrections: 0.92 eV/f.u.
Space group: No. 123
N(E_F): 3.989 states/eV/f.u.
Total moment: 3.00 μB/f.u.

Unit cell a=4.1685 b=4.1685 c=4.0304 alpha=90.00 beta=90.00 gamma=90.00
Each line ends with the local moment (μB).
Atoms (fractional coordinates):
Na (0.0000, 0.0000, 0.0000)  0.00
O (0.0000, 0.5000, 0.0000)  1.07
O (0.5000, 0.0000, 0.0000)  1.07
Cu (0.5000, 0.5000, 0.5000)  0.32
F (0.0000, 0.0000, 0.5000)  0.17